No. 1
Density functional theory data (GGA-PBE) for a geometry-optimized PrTmHf structure.

Output
Offset from the most stable computed form, eV/atom: 0.022
ΔH_f (0 K), meV per atom: 166

```
PrTmHf
1.0
4.6131 0.0005 -0.5956
0.0000 3.3878 0.0025
1.3984 1.6948 10.8329
Tm Pr Hf
2 2 2
direct
0.4769 0.5025 0.9457 Tm
0.9769 0.7815 0.3827 Tm
0.9770 0.0916 0.7686 Pr
0.4769 0.1925 0.5598 Pr
0.9769 0.9254 0.0984 Hf
0.4769 0.3586 0.2300 Hf
```

---

No. 2
Density functional theory data (GGA-PBE) for a geometry-optimized PrTm2Hf structure.

Output
Offset from the most stable computed form, eV/atom: 0.101
ΔH_f (0 K), meV per atom: 211

```
PrTm2Hf
1.0
-3.7363 1.1241 -0.5377
-0.2464 -2.3324 -3.1641
-2.3668 -5.7510 4.4237
Hf Pr Tm
1 1 2
direct
0.5000 0.5000 0.0000 Hf
0.5000 0.5000 0.5000 Pr
0.0000 0.0000 0.2128 Tm
0.0000 0.0000 0.7872 Tm
```

---

Number 1: raw total energy -37.4 eV/cell. Number 2: raw total energy -22.8 eV/cell.